# 1
## Sr6P2SBr3 (PBE-GGA)

Data for a relaxed Sr6P2SBr3 crystal.

Lattice parameters (Å, degrees): 7.6631 13.2750 7.8164 90.00 109.05 90.00
Closest atoms and distances in Å follow each position.
Space group C2/m (No. 12)
Unique sites:
Sr (0.2332, 0.0000, 0.2111) (multiplicity 4)  2 P 2.98, 1 S 3.02, 3 Br 3.31-3.32
Sr (0.2393, 0.3314, 0.2121) (multiplicity 8)  2 P 2.98, 1 S 3.02, 3 Br 3.32-3.34
P (0.0000, 0.1669, 0.0000) (multiplicity 4)  6 Sr 2.98
S (0.0000, 0.5000, 0.0000) (multiplicity 2)  6 Sr 3.02
Br (0.0000, 0.0000, 0.5000) (multiplicity 2)  6 Sr 3.31-3.34
Br (0.0000, 0.3354, 0.5000) (multiplicity 4)  6 Sr 3.32-3.33

## Properties
The formation energy (no corrections) comes out at -19.86 eV per formula unit.

# 2
## NaNdN (PBE-GGA)

Data for a relaxed NaNdN crystal.

Lattice parameters (Å, degrees): 3.8714 4.9563 7.6280 90.00 97.63 90.00
Closest atoms and distances in Å follow each position.
Space group P2_1/m (No. 11)
Unique sites:
Na (0.2113, 0.2500, 0.1436) (multiplicity 2)  2 N 2.80-3.08
Nd (0.2752, 0.2500, 0.6109) (multiplicity 2)  4 N 2.34-2.50
N (0.2685, 0.7500, 0.5648) (multiplicity 2)  4 Nd 2.34-2.50

## Properties
The formation energy (no corrections) comes out at -2.03 eV per formula unit.

# 3
## Pm3Pr4Sn4 (PBE-GGA)

Data for a relaxed Pm3Pr4Sn4 crystal.

Lattice parameters (Å, degrees): 3.6726 9.7723 19.3337 90.00 90.00 90.00
Closest atoms and distances in Å follow each position.
Space group Immm (No. 71)
Unique sites:
Pm (0.0000, 0.0000, 0.0000) (multiplicity 2)  4 Sn 3.27
Pm (0.0000, 0.5000, 0.0900) (multiplicity 4)  6 Sn 3.17-3.34, 1 Pm 3.48
Pr (0.0000, 0.3240, 0.3349) (multiplicity 8)  4 Sn 3.31-3.36, 3 Pr 3.44-3.67
Sn (0.0000, 0.0000, 0.2760) (multiplicity 4)  2 Pm 3.17, 6 Pr 3.31-3.36
Sn (0.0000, 0.2237, 0.5000) (multiplicity 4)  6 Pm 3.27-3.34, 2 Pr 3.34

## Properties
The formation energy is -55 kJ/mol of atoms.

# 4
## HgCSe3 (PBE-GGA)

Data for a relaxed HgCSe3 crystal.

Lattice parameters (Å, degrees): 5.3081 5.3081 5.3081 90.00 90.00 90.00
Closest atoms and distances in Å follow each position.
Space group Pm-3m (No. 221)
Unique sites:
Hg (0.0000, 0.0000, 0.0000) (multiplicity 1)  6 Se 2.65
C (0.5000, 0.5000, 0.5000) (multiplicity 1)  12 Se 3.75
Se (0.0000, 0.0000, 0.5000) (multiplicity 3)  2 Hg 2.65

## Properties
The formation energy (no corrections) comes out at 10.53 eV per formula unit.

# 5
## CeDy2TlN (PBE-GGA)

Data for a relaxed CeDy2TlN crystal.

Lattice parameters (Å, degrees): 4.8693 4.8693 4.8603 90.00 90.00 90.00
Closest atoms and distances in Å follow each position.
Space group P4/mmm (No. 123)
Unique sites:
Ce (0.0000, 0.0000, 0.0000) (multiplicity 1)  2 N 2.43
Dy (0.0000, 0.5000, 0.5000) (multiplicity 2)  2 N 2.43
Tl (0.5000, 0.5000, 0.0000) (multiplicity 1)  8 Dy 3.44, 4 Ce 3.44
N (0.0000, 0.0000, 0.5000) (multiplicity 1)  2 Ce 2.43, 4 Dy 2.43

## Properties
The formation energy (no corrections) comes out at -4.21 eV per formula unit.

# 6
## KNpScO6 (PBE-GGA)

Data for a relaxed KNpScO6 crystal.

Lattice parameters (Å, degrees): 5.2423 5.2423 10.1271 90.00 90.00 90.00
Closest atoms and distances in Å follow each position.
Space group P4_2nm (No. 102)
Unique sites:
K (0.0000, 0.0000, 0.0000) (multiplicity 2)  6 O 2.49-2.71
Np (0.0000, 0.0000, 0.3387) (multiplicity 2)  6 O 2.00-2.05
Sc (0.0000, 0.0000, 0.6686) (multiplicity 2)  6 O 2.13-2.16
O (0.1636, 0.1636, 0.4960) (multiplicity 4)  1 Np 2.00, 1 Sc 2.13
O (0.2163, 0.2163, 0.2152) (multiplicity 4)  1 Np 2.03, 1 Sc 2.16
O (0.2285, 0.2285, 0.8002) (multiplicity 4)  1 Np 2.05, 1 Sc 2.16

## Properties
The formation energy (no corrections) comes out at -21.52 eV per formula unit.

# 7
## MnSbPb4 (PBE-GGA)

Data for a relaxed MnSbPb4 crystal.

Lattice parameters (Å, degrees): 9.0764 9.0764 9.0764 90.00 90.00 90.00
Closest atoms and distances in Å follow each position.
Space group F-43m (No. 216)
Unique sites:
Mn (0.0000, 0.0000, 0.0000) (multiplicity 4)  12 Pb 3.76, 4 Sb 3.93
Sb (0.2500, 0.2500, 0.2500) (multiplicity 4)  12 Pb 3.76, 4 Mn 3.93
Pb (0.1255, 0.1255, 0.6255) (multiplicity 16)  6 Pb 3.20-3.22

## Properties
The formation energy (no corrections) comes out at 3.30 eV per formula unit.

# 8
## ZnFe2Si (PBE-GGA)

Data for a relaxed ZnFe2Si crystal.

Lattice parameters (Å, degrees): 8.7961 2.6777 4.2115 90.00 105.95 90.00
Closest atoms and distances in Å follow each position.
Space group Cm (No. 8)
Unique sites:
Zn (0.0000, 0.0000, 0.0000) (multiplicity 2)  7 Fe 2.49-2.54, 2 Zn 2.68, 2 Si 2.71
Fe (0.2460, 0.0000, 0.8112) (multiplicity 2)  4 Si 2.48-2.52, 3 Zn 2.50-2.54, 4 Fe 2.58-2.68
Fe (0.4993, 0.0000, 0.5006) (multiplicity 2)  3 Si 2.41-2.62, 4 Zn 2.49-2.50, 4 Fe 2.58-2.68
Si (0.2638, 0.5000, 0.3280) (multiplicity 2)  7 Fe 2.41-2.62, 2 Si 2.68

## Properties
The formation energy (no corrections) comes out at -0.25 eV per formula unit.

Here are the calculated E numbers, same order: -4.16; -5.48; -5.06; -1.89; -6.01; -7.96; -4.14; -5.97 (eV/atom).